w | Density functional theory data (PBE-GGA) for NiHW2 after structural relaxation.

```
4
Lattice="0.000 2.897 2.897 2.897 0.000 2.897 2.897 2.897 0.000" Properties=species:S:1:pos:R:3 pbc="T T T"
Ni 0.000 0.000 0.000
H 2.897 2.897 2.897
W 1.449 1.449 1.449
W 4.346 4.346 4.346
```

Results
The volume comes out at 48.6 Å³/cell.

***

x | Density functional theory data (PBE-GGA) for NiHW2 after structural relaxation.

```
8
Lattice="-2.925 2.925 2.746 2.925 -2.925 2.746 2.925 2.925 -2.746" Properties=species:S:1:pos:R:3 pbc="T T T"
Ni 0.000 0.000 0.000
Ni 0.000 2.925 1.373
H 2.925 0.000 1.373
H 0.000 0.000 2.746
W 1.463 -1.012 2.060
W 1.913 1.463 0.687
W 1.463 3.938 -0.687
W 1.012 1.463 3.433
```

Results
The volume comes out at 94.0 Å³/cell.

***

Which one sits at the bottom of the stability order? w does.

***

w | Density functional theory data (PBE-GGA) for NiH2W after structural relaxation.

```
4
Lattice="1.405 0.811 4.850 -1.405 0.811 4.850 0.000 -1.622 4.850" Properties=species:S:1:pos:R:3 pbc="T T T"
Ni 0.000 0.000 0.000
H 0.000 0.000 5.737
H 0.000 0.000 8.240
W 0.000 0.000 11.894
```

Results
The volume comes out at 33.2 Å³/cell.

***

x | Density functional theory data (PBE-GGA) for NiH2W after structural relaxation.

```
8
Lattice="-2.011 2.011 4.113 2.011 -2.011 4.113 2.011 2.011 -4.113" Properties=species:S:1:pos:R:3 pbc="T T T"
Ni 0.000 0.000 0.000
Ni 0.000 2.011 2.057
H 3.016 0.813 -1.028
H 0.813 1.005 1.028
H -1.005 1.198 3.085
H 1.198 1.005 5.141
W 2.011 0.000 2.057
W 0.000 0.000 4.113
```

Results
The volume comes out at 66.5 Å³/cell.

***

Which one sits at the bottom of the stability order? w does.

***

w | Density functional theory data (PBE-GGA) for NiH2W after structural relaxation.

```
4
Lattice="0.000 2.529 2.529 2.529 0.000 2.529 2.529 2.529 0.000" Properties=species:S:1:pos:R:3 pbc="T T T"
Ni 0.000 0.000 0.000
H 1.265 1.265 1.265
H 3.794 3.794 3.794
W 2.529 2.529 2.529
```

Results
The volume comes out at 32.4 Å³/cell.

***

x | Density functional theory data (PBE-GGA) for NiH2W after structural relaxation.

```
4
Lattice="1.399 0.808 4.930 -1.399 0.808 4.930 0.000 -1.616 4.930" Properties=species:S:1:pos:R:3 pbc="T T T"
Ni 0.000 0.000 0.000
H 0.000 0.000 5.529
H 0.000 0.000 9.262
W 0.000 0.000 7.395
```

Results
The volume comes out at 33.4 Å³/cell.

***

Which one sits at the bottom of the stability order? w does.

***

w | Density functional theory data (PBE-GGA) for Y2NiH2 after structural relaxation.

```
5
Lattice="-1.738 1.738 6.199 1.738 -1.738 6.199 1.738 1.738 -6.199" Properties=species:S:1:pos:R:3 pbc="T T T"
Y 0.000 0.000 1.704
Y 0.000 0.000 10.694
Ni 0.000 0.000 6.199
H 1.738 0.000 3.100
H 0.000 1.738 3.100
```

Results
The volume comes out at 74.9 Å³/cell.

***

x | Density functional theory data (PBE-GGA) for Y2NiH2 after structural relaxation.

```
10
Lattice="6.694 0.000 0.000 0.000 6.694 0.000 0.000 0.000 3.197" Properties=species:S:1:pos:R:3 pbc="T T T"
Y 1.251 2.096 0.000
Y 2.096 5.443 0.000
Y 4.598 1.251 0.000
Y 5.443 4.598 0.000
Ni 0.000 0.000 1.599
Ni 3.347 3.347 1.599
H 0.810 4.157 1.599
H 2.537 0.810 1.599
H 4.157 5.884 1.599
H 5.884 2.537 1.599
```

Results
The volume comes out at 143.3 Å³/cell.

***

Which one sits at the bottom of the stability order? x does.

***

w | Density functional theory data (PBE-GGA) for ZnNi4H after structural relaxation.

```
12
Lattice="5.595 -2.209 0.000 5.595 2.209 0.000 -1.405 0.000 4.750" Properties=species:S:1:pos:R:3 pbc="T T T"
Zn 4.541 1.808 3.563
Zn 5.244 -1.808 1.188
Ni 1.335 0.391 3.098
Ni 2.038 -0.391 0.723
Ni 4.423 0.364 0.250
Ni 3.720 -0.364 2.626
Ni 6.065 0.364 2.125
Ni 5.363 -0.364 4.500
Ni 7.748 0.391 4.028
Ni 8.451 -0.391 1.652
H 2.798 1.104 0.000
H 2.095 -1.104 2.375
```

Results
The volume comes out at 117.4 Å³/cell.

***

x | Density functional theory data (PBE-GGA) for ZnNi4H after structural relaxation.

```
12
Lattice="6.069 -2.513 0.000 6.069 2.513 0.000 -1.447 0.000 3.938" Properties=species:S:1:pos:R:3 pbc="T T T"
Zn 2.043 0.000 0.750
Zn 8.647 0.000 3.188
Ni 4.132 1.269 1.515
Ni 6.069 1.290 0.000
Ni 2.578 0.000 3.191
Ni 6.558 1.269 2.423
Ni 4.132 -1.269 1.515
Ni 8.112 0.000 0.747
Ni 6.069 -1.290 0.000
Ni 6.558 -1.269 2.423
H 4.296 0.000 2.749
H 6.394 0.000 1.189
```

Results
The volume comes out at 120.1 Å³/cell.

***

Which one sits at the bottom of the stability order? x does.

***

w | Density functional theory data (PBE-GGA) for ZnNi3H after structural relaxation.

```
10
Lattice="7.512 -1.829 0.000 7.512 1.829 0.000 -0.848 0.000 3.485" Properties=species:S:1:pos:R:3 pbc="T T T"
Zn 2.394 0.000 1.512
Zn 11.781 0.000 1.973
Ni 0.253 0.000 2.834
Ni 4.619 0.000 0.210
Ni 6.011 0.000 2.400
Ni 8.165 0.000 1.085
Ni 9.556 0.000 3.275
Ni 13.923 0.000 0.651
H 6.341 0.000 0.636
H 7.835 0.000 2.848
```

Results
The volume comes out at 95.8 Å³/cell.

***

x | Density functional theory data (PBE-GGA) for ZnNi3H after structural relaxation.

```
10
Lattice="4.019 0.000 0.000 -2.009 3.480 0.000 0.000 0.000 7.156" Properties=species:S:1:pos:R:3 pbc="T T T"
Zn 0.000 2.320 1.789
Zn 2.009 1.160 5.367
Ni 0.000 0.000 1.789
Ni 0.000 0.000 5.367
Ni 0.000 2.320 4.159
Ni 0.000 2.320 6.575
Ni 2.009 1.160 0.581
Ni 2.009 1.160 2.997
H 0.000 0.000 0.000
H 0.000 0.000 3.578
```

Results
The volume comes out at 100.1 Å³/cell.

***

Which one sits at the bottom of the stability order? x does.